--- a ---
Computed, not measured: a relaxed structure of ErLuNO at the PBE level of DFT.

Geometry as POSCAR:
```
ErLuNO
1.0
-3.172 1.082 -3.314
-2.940 -3.239 1.756
-1.883 3.264 2.868
N Er O Lu
2 2 2 2
direct
0.500 0.000 0.499
0.000 0.500 0.501
0.500 0.500 0.500
0.000 0.000 0.500
0.500 0.500 0.000
0.000 0.000 0.000
0.500 0.000 0.001
0.000 0.500 0.999
```

Results
Spin magnetization   0.001 μB/f.u.
Theoretical density   11.75 g/cm³

=====

--- b ---
Computed, not measured: a relaxed structure of ErLuNO at the PBE level of DFT.

Geometry as POSCAR:
```
ErLuNO
1.0
6.473 0.000 0.000
0.000 7.918 0.000
0.000 0.000 4.793
O Er Lu N
4 4 4 4
direct
0.907 0.361 0.051
0.407 0.639 0.051
0.593 0.361 0.551
0.093 0.639 0.551
0.434 0.623 0.551
0.566 0.377 0.051
0.066 0.623 0.051
0.934 0.377 0.551
0.916 0.874 0.550
0.584 0.874 0.050
0.416 0.126 0.550
0.084 0.126 0.050
0.928 0.878 0.050
0.428 0.122 0.050
0.072 0.122 0.550
0.572 0.878 0.550
```

Results
Spin magnetization   0.005 μB/f.u.
Theoretical density   10.06 g/cm³

=====

--- c ---
Computed, not measured: a relaxed structure of ErLuNO at the PBE level of DFT.

Geometry as POSCAR:
```
ErLuNO
1.0
-3.899 1.094 2.435
-2.078 -3.949 -1.554
1.679 -2.359 3.749
Lu N O Er
2 2 2 2
direct
0.750 0.250 0.500
0.250 0.750 0.500
0.250 0.250 0.502
0.750 0.750 0.498
0.250 0.750 0.000
0.750 0.250 0.000
0.250 0.250 0.001
0.750 0.750 0.999
```

Results
Spin magnetization   0.000 μB/f.u.
Theoretical density   11.69 g/cm³

=====

--- d ---
Computed, not measured: a relaxed structure of ErLuNO at the PBE level of DFT.

Geometry as POSCAR:
```
ErLuNO
1.0
3.075 -3.075 0.000
3.075 3.075 0.000
0.000 0.000 7.379
O N Er Lu
2 2 2 2
direct
0.250 0.750 0.000
0.750 0.250 0.000
0.250 0.250 0.572
0.750 0.750 0.428
0.250 0.250 0.085
0.750 0.750 0.915
0.750 0.250 0.500
0.250 0.750 0.500
```

Results
Spin magnetization   0.002 μB/f.u.
Theoretical density   8.86 g/cm³

=====

Pick the most stable structure from those above. Pick: c